Record 1
CaAlGa4Pd2 | GGA-PBE | relaxed

The structure in POSCAR format:
```
CaAlGa4Pd2
1.0
-2.6719 3.4158 0.7495
-4.0954 -0.0148 -1.6113
-5.1608 -2.7667 7.1325
Ga Al Ca Pd
4 1 1 2
direct
0.6013 0.6013 0.1962 Ga
0.8758 0.8758 0.3726 Ga
0.3987 0.3987 0.8038 Ga
0.1242 0.1242 0.6274 Ga
0.5000 0.5000 0.5000 Al
0.0000 0.0000 0.0000 Ca
0.2348 0.2348 0.2957 Pd
0.7652 0.7652 0.7043 Pd
```

Properties
Formation energy in eV/atom: -0.400
Volume in Å³/atom: 18.601
Space-group type: R-3m (166)
N(E_F) in states/eV/atom: 0.50

---

Record 2
Na2CuSn2 | GGA-PBE | relaxed

The structure in POSCAR format:
```
Na2CuSn2
1.0
4.6066 0.0000 0.0000
2.3033 5.5084 -0.0596
2.3033 0.1935 10.0051
Cu Sn Na
2 4 4
direct
0.3639 0.9249 0.3474 Cu
0.6361 0.0751 0.6526 Cu
0.3672 0.1488 0.1168 Sn
0.8959 0.7659 0.4423 Sn
0.6328 0.8512 0.8832 Sn
0.1041 0.2341 0.5577 Sn
0.6639 0.3520 0.3202 Na
0.9198 0.2728 0.8875 Na
0.3361 0.6480 0.6798 Na
0.0802 0.7272 0.1125 Na
```

Properties
Formation energy in eV/atom: -0.087
E above lowest polymorph in eV per atom: 0.000
Volume in Å³/atom: 25.393
Space-group type: C2/m (12)
N(E_F) in states/eV/atom: 0.41

---

Record 3
In2PAu | GGA-PBE | relaxed

The structure in POSCAR format:
```
In2PAu
1.0
3.4200 0.0033 0.0000
-0.5924 3.3683 0.0000
0.0000 0.0000 7.3763
In P Au
2 1 1
direct
0.0000 0.0000 0.4895 In
0.0000 0.0000 0.0105 In
0.5000 0.5000 0.2500 P
0.5000 0.5000 0.7500 Au
```

Properties
Formation energy in eV/atom: 0.156
Volume in Å³/atom: 21.247
Space-group type: Cmmm (65)
N(E_F) in states/eV/atom: 0.32

---

Record 4
Rb4Ho3PuS8 | GGA-PBE | relaxed

The structure in POSCAR format:
```
Rb4Ho3PuS8
1.0
8.1811 0.0000 0.0000
0.0000 8.9902 0.5639
-4.0906 -4.0858 5.7883
S Pu Ho Rb
8 1 3 4
direct
0.2325 0.6909 0.4650 S
0.2696 0.3087 0.5391 S
0.7675 0.3091 0.0416 S
0.2741 0.3091 0.0416 S
0.2325 0.6909 0.9584 S
0.7304 0.6913 0.4609 S
0.7259 0.6909 0.9584 S
0.7675 0.3091 0.5350 S
0.0000 0.5000 0.0000 Pu
0.5000 0.5000 0.0000 Ho
0.0000 0.5000 0.5000 Ho
0.5000 0.5000 0.5000 Ho
0.5000 0.0000 0.0000 Rb
0.0000 0.0000 0.5000 Rb
0.0000 0.0000 0.0000 Rb
0.5000 0.0000 0.5000 Rb
```

Properties
Volume in Å³/atom: 27.786
Space-group type: R-3m (166)
N(E_F) in states/eV/atom: 0.73
E_form (uncorrected) in eV per atom: -1.77

---

Record 5
Tb2Tm2Sb3 | GGA-PBE | relaxed

The structure in POSCAR format:
```
Tb2Tm2Sb3
1.0
-3.1504 2.4613 -1.7204
-3.1731 -5.9775 2.7771
-0.0003 4.1908 6.0099
Sb Tb Tm
3 2 2
direct
0.2590 0.5170 0.7455 Sb
0.7410 0.4830 0.2545 Sb
0.0000 0.0000 0.0000 Sb
0.6238 0.2473 0.8612 Tb
0.3762 0.7527 0.1388 Tb
0.8816 0.7617 0.6162 Tm
0.1184 0.2383 0.3838 Tm
```

Properties
E above lowest polymorph in eV per atom: 0.142
Volume in Å³/atom: 31.380
Space-group type: C2/m (12)
N(E_F) in states/eV/atom: 0.46
E_form (uncorrected) in eV per atom: -0.82

---

Record 6
Tl3NiI6 | GGA-PBE | relaxed

The structure in POSCAR format:
```
Tl3NiI6
1.0
-5.4325 5.2607 2.2363
-7.0318 -7.9861 1.7048
4.3824 0.3430 9.8391
Ni I Tl
2 12 6
direct
0.6124 0.8003 0.1997 Ni
0.1124 0.1997 0.8003 Ni
0.7319 0.8722 0.4141 I
0.2165 0.0530 0.9470 I
0.6830 0.2692 0.3873 I
0.1830 0.7308 0.6127 I
0.7967 0.2050 0.7950 I
0.1830 0.3873 0.2692 I
0.2319 0.1278 0.5859 I
0.7319 0.5859 0.1278 I
0.2967 0.7950 0.2050 I
0.2319 0.4141 0.8722 I
0.6830 0.6127 0.7308 I
0.7165 0.9470 0.0530 I
0.0180 0.0992 0.2859 Tl
0.0180 0.7141 0.9008 Tl
0.4941 0.5687 0.4313 Tl
0.5180 0.9008 0.7141 Tl
0.5180 0.2859 0.0992 Tl
0.9941 0.4313 0.5687 Tl
```

Properties
E above lowest polymorph in eV per atom: 0.013
Volume in Å³/atom: 45.309
Space-group type: Cmc2_1 (36)
N(E_F) in states/eV/atom: 0.33
E_form (uncorrected) in eV per atom: -0.36

---

Record 7
TeW3C | GGA-PBE | relaxed

The structure in POSCAR format:
```
TeW3C
1.0
4.8823 0.0000 0.0000
0.0000 4.8823 0.0000
0.0000 0.0000 4.8823
W Te C
3 1 1
direct
0.5000 0.0000 0.0000 W
0.0000 0.5000 0.0000 W
0.0000 0.0000 0.5000 W
0.0000 0.0000 0.0000 Te
0.5000 0.5000 0.5000 C
```

Properties
E above lowest polymorph in eV per atom: 3.162
Volume in Å³/atom: 23.276
Space-group type: Pm-3m (221)
N(E_F) in states/eV/atom: 1.13
E_form (uncorrected) in eV per atom: 3.89

---

Record 8
Ac2Si2Au | GGA-PBE | relaxed

The structure in POSCAR format:
```
Ac2Si2Au
1.0
-2.8943 0.2231 3.2951
2.8992 -1.9098 2.6758
0.9844 7.0656 0.3864
Ac Au Si
2 1 2
direct
0.0000 0.6865 0.3729 Ac
0.0000 0.9298 0.8595 Ac
0.5000 0.1078 0.2156 Au
0.5000 0.3149 0.6299 Si
0.5000 0.5032 0.0063 Si
```

Properties
E above lowest polymorph in eV per atom: 0.138
Volume in Å³/atom: 26.177
Space-group type: Amm2 (38)
N(E_F) in states/eV/atom: 0.81
E_form (uncorrected) in eV per atom: -0.55